# GGA+U KMn2Se2O6, optimized geometry
# * total energy: -5.823 eV/atom
# * magnetic moment: 0.765 μB/atom
data_KMn2Se2O6
_chemical_formula_sum 'K1 Mn2 Se2 O6'
_cell_length_a 5.743
_cell_length_b 5.872
_cell_length_c 6.056
_cell_angle_alpha 100.15
_cell_angle_beta 116.77
_cell_angle_gamma 103.11
_symmetry_space_group_name_H-M 'P 1'
_symmetry_Int_Tables_number 1
loop_
_symmetry_equiv_pos_as_xyz
'x,y,z'
loop_
_atom_site_label
_atom_site_fract_x
_atom_site_fract_y
_atom_site_fract_z
K1 0.000 0.000 0.000
Mn1 0.380 0.036 0.674
Mn2 0.620 0.964 0.326
Se1 0.024 0.495 0.732
Se2 0.976 0.505 0.268
O1 0.118 0.231 0.705
O2 0.315 0.777 0.892
O3 0.497 0.203 0.473
O4 0.503 0.797 0.527
O5 0.685 0.223 0.108
O6 0.882 0.769 0.295